A relaxed structure of In2TeMo, computed with PBE.

Output
Total magnetic moment ... 0.271 μB/f.u.
E_form (uncorrected) ... 128 meV/atom
Electronic total energy ... -18.94 eV per formula unit
Density ... 7.84 Mg/m³

CIF file:
```
data_In2TeMo
_chemical_formula_sum 'In2 Te1 Mo1'
_symmetry_space_group_name_H-M 'P 1'
_symmetry_Int_Tables_number 1
_cell_length_a 3.293
_cell_length_b 3.293
_cell_length_c 8.856
_cell_angle_alpha 90.00
_cell_angle_beta 90.00
_cell_angle_gamma 90.00
loop_
_symmetry_equiv_pos_as_xyz
'x,y,z'
loop_
_atom_site_label
_atom_site_type_symbol
_atom_site_fract_x
_atom_site_fract_y
_atom_site_fract_z
In1 In 0.000 0.000 0.000
In2 In 0.500 0.500 0.279
Te1 Te 0.500 0.500 0.662
Mo1 Mo 0.000 0.000 0.492
```